1.
Density functional theory data (PBEsol) for crystalline In2CuPb at its relaxed geometry.

Cell and atoms, written as POSCAR:
```
In2CuPb
1.0
2.9081 -5.4395 0.0000
2.9081 5.4395 0.0000
-2.0826 0.0000 2.9273
In Cu Pb
2 1 1
Direct
0.0000 0.5000 0.0000
0.5000 0.0000 0.0000
0.0000 0.0000 0.5000
0.5000 0.5000 0.5000
```

Energy of formation from the pure elements = 263 meV/atom
D(E_F) = 1.906 states/eV per cell
Magnetic moment = 0.0 μB per formula unit

***

2.
Density functional theory data (PBEsol) for crystalline InCu2Pd2 at its relaxed geometry.

Cell and atoms, written as POSCAR:
```
InCu2Pd2
1.0
-1.8955 1.8955 5.4891
1.8955 -1.8955 5.4891
1.8955 1.8955 -5.4891
In Cu Pd
1 2 2
Direct
0.0000 0.0000 0.0000
0.3975 0.3975 0.0000
0.6025 0.6025 0.0000
0.2500 0.7500 0.5000
0.7500 0.2500 0.5000
```

Energy of formation from the pure elements = 75 meV/atom
D(E_F) = 1.942 states/eV per cell
Magnetic moment = 0.0 μB per formula unit

***

3.
Density functional theory data (PBEsol) for crystalline PmInCu2 at its relaxed geometry.

Cell and atoms, written as POSCAR:
```
PmInCu2
1.0
0.0000 3.3141 3.3141
3.3141 0.0000 3.3141
3.3141 3.3141 0.0000
Pm In Cu
1 1 2
Direct
0.0000 0.0000 0.0000
0.5000 0.5000 0.5000
0.2500 0.2500 0.2500
0.7500 0.7500 0.7500
```

Energy of formation from the pure elements = -317 meV/atom
D(E_F) = 1.487 states/eV per cell
Magnetic moment = 0.0 μB per formula unit

***

4.
Density functional theory data (PBEsol) for crystalline Pr2InCu2 at its relaxed geometry.

Cell and atoms, written as POSCAR:
```
Pr2InCu2
1.0
7.6089 0.0000 0.0000
0.0000 7.6089 0.0000
0.0000 0.0000 3.8735
Pr In Cu
4 2 4
Direct
0.1753 0.3247 0.0000
0.3247 0.8247 0.0000
0.6753 0.1753 0.0000
0.8247 0.6753 0.0000
0.0000 0.0000 0.5000
0.5000 0.5000 0.5000
0.1183 0.6183 0.5000
0.3817 0.1183 0.5000
0.6183 0.8817 0.5000
0.8817 0.3817 0.5000
```

Energy of formation from the pure elements = -315 meV/atom
D(E_F) = 7.830 states/eV per cell
Magnetic moment = 0.0 μB per formula unit

***

5.
Density functional theory data (PBEsol) for crystalline PrInCu at its relaxed geometry.

Cell and atoms, written as POSCAR:
```
PrInCu
1.0
7.4300 0.0000 0.0000
-3.7150 6.4345 0.0000
0.0000 0.0000 4.1369
Pr In Cu
3 3 3
Direct
0.0000 0.5852 0.0000
0.4148 0.4148 0.0000
0.5852 0.0000 0.0000
0.0000 0.2458 0.5000
0.2458 0.0000 0.5000
0.7542 0.7542 0.5000
0.0000 0.0000 0.0000
0.3333 0.6667 0.5000
0.6667 0.3333 0.5000
```

Energy of formation from the pure elements = -398 meV/atom
D(E_F) = 5.811 states/eV per cell
Magnetic moment = 0.0 μB per formula unit

***

6.
Density functional theory data (PBEsol) for crystalline PrIn6Cu6 at its relaxed geometry.

Cell and atoms, written as POSCAR:
```
PrIn6Cu6
1.0
-2.6786 4.5663 4.6093
2.6786 -4.5663 4.6093
2.6786 4.5663 -4.6093
Pr In Cu
1 6 6
Direct
0.0000 0.0000 0.0000
0.1868 0.6868 0.5000
0.3386 0.0000 0.3386
0.3445 0.3445 0.0000
0.6555 0.6555 0.0000
0.6614 0.0000 0.6614
0.8132 0.3132 0.5000
0.0000 0.0000 0.5000
0.0000 0.5000 0.0000
0.2350 0.5000 0.7350
0.5000 0.0000 0.0000
0.5000 0.5000 0.5000
0.7650 0.5000 0.2650
```

Energy of formation from the pure elements = -181 meV/atom
D(E_F) = 3.324 states/eV per cell
Magnetic moment = 0.0 μB per formula unit

***

7.
Density functional theory data (PBEsol) for crystalline Pr2InCuS5 at its relaxed geometry.

Cell and atoms, written as POSCAR:
```
Pr2InCuS5
1.0
11.4601 0.0000 0.0000
0.0000 3.8828 0.0000
0.0000 0.0000 16.5246
Pr In Cu S
8 4 4 20
Direct
0.0216 0.2500 0.1789
0.1367 0.7500 0.5952
0.3633 0.2500 0.0952
0.4784 0.7500 0.6789
0.5216 0.2500 0.3211
0.6367 0.7500 0.9048
0.8633 0.2500 0.4048
0.9784 0.7500 0.8211
0.1934 0.7500 0.3622
0.3066 0.2500 0.8622
0.6934 0.7500 0.1378
0.8066 0.2500 0.6378
0.0809 0.7500 0.9977
0.4191 0.2500 0.4977
0.5809 0.7500 0.5023
0.9191 0.2500 0.0023
0.0139 0.2500 0.6945
0.0995 0.2500 0.9244
0.1095 0.2500 0.4633
0.1822 0.7500 0.1141
0.2389 0.7500 0.7707
0.2611 0.2500 0.2707
0.3178 0.2500 0.6141
0.3905 0.7500 0.9633
0.4005 0.7500 0.4244
0.4861 0.7500 0.1945
0.5139 0.2500 0.8055
0.5995 0.2500 0.5756
0.6095 0.2500 0.0367
0.6822 0.7500 0.3859
0.7389 0.7500 0.7293
0.7611 0.2500 0.2293
0.8178 0.2500 0.8859
0.8905 0.7500 0.5367
0.9005 0.7500 0.0756
0.9861 0.7500 0.3055
```

DFT total energy = -5.82 eV per atom
Magnetic moment = 0.0 μB per formula unit

***

8.
Density functional theory data (PBEsol) for crystalline In2CuPt at its relaxed geometry.

Cell and atoms, written as POSCAR:
```
In2CuPt
1.0
0.0000 3.2542 3.2542
3.2542 0.0000 3.2542
3.2542 3.2542 0.0000
In Cu Pt
2 1 1
Direct
0.0000 0.0000 0.0000
0.2500 0.2500 0.2500
0.5000 0.5000 0.5000
0.7500 0.7500 0.7500
```

Energy of formation from the pure elements = 14 meV/atom
D(E_F) = 1.509 states/eV per cell
Magnetic moment = 0.0 μB per formula unit

***

9.
Density functional theory data (PBEsol) for crystalline InCuPt2 at its relaxed geometry.

Cell and atoms, written as POSCAR:
```
InCuPt2
1.0
2.9531 0.0000 0.0000
0.0000 2.9531 0.0000
0.0000 0.0000 6.9275
In Cu Pt
1 1 2
Direct
0.0000 0.0000 0.0000
0.0000 0.0000 0.5000
0.5000 0.5000 0.2721
0.5000 0.5000 0.7279
```

Energy of formation from the pure elements = -296 meV/atom
D(E_F) = 0.973 states/eV per cell
Magnetic moment = 0.0 μB per formula unit

***

10.
Density functional theory data (PBEsol) for crystalline In2CuPt at its relaxed geometry.

Cell and atoms, written as POSCAR:
```
In2CuPt
1.0
3.4570 0.0000 0.0000
0.0000 4.1489 0.0000
-1.6411 0.0000 4.9783
In Cu Pt
2 1 1
Direct
0.0000 0.0000 0.0000
0.2902 0.5000 0.6003
0.7305 0.0000 0.4640
0.5713 0.5000 0.1533
```

Energy of formation from the pure elements = -231 meV/atom
D(E_F) = 1.722 states/eV per cell
Magnetic moment = 0.0 μB per formula unit

***

11.
Density functional theory data (PBEsol) for crystalline InCuPt2 at its relaxed geometry.

Cell and atoms, written as POSCAR:
```
InCuPt2
1.0
2.8340 -3.6879 0.0000
2.8340 3.6879 0.0000
0.0000 0.0000 2.9218
In Cu Pt
1 1 2
Direct
0.0000 0.0000 0.0000
0.5000 0.5000 0.0000
0.0000 0.5000 0.5000
0.5000 0.0000 0.5000
```

Energy of formation from the pure elements = -295 meV/atom
D(E_F) = 1.093 states/eV per cell
Magnetic moment = 0.0 μB per formula unit

***

12.
Density functional theory data (PBEsol) for crystalline In2CuPt at its relaxed geometry.

Cell and atoms, written as POSCAR:
```
In2CuPt
1.0
-1.9875 2.0119 4.2191
1.9875 -2.0119 4.2191
1.9875 2.0119 -4.2191
In Cu Pt
2 1 1
Direct
0.0000 0.0000 0.0000
0.7483 0.2483 0.5000
0.4976 0.4976 0.0000
0.2506 0.7506 0.5000
```

Energy of formation from the pure elements = -153 meV/atom
D(E_F) = 1.216 states/eV per cell
Magnetic moment = 0.0 μB per formula unit